The following is a PBE-GGA calculation of a relaxed structure of GaBr2, from Alexandria.

Its volume is 36.46 Å³/atom. For the total energy, the calculation gives -2.8704 eV/atom. As for the relative energy among the computed polymorphs: 10 meV per atom. The value obtained for the density is 3.48 Mg/m³. For the total magnetic moment, the calculation gives 0.00 μB per formula unit.

The structure in POSCAR format:
```
GaBr2
1.0
6.538 0.000 0.000
-2.462 6.107 0.000
-2.530 -2.712 5.479
Ga Br
2 4
Direct
0.000 0.000 0.000
0.069 0.522 0.514
0.063 0.534 0.157
0.065 0.164 0.524
0.443 0.875 0.868
0.702 0.514 0.506
```